! TlAg12O7 PBE relaxed; values from VASP
! * uncorrected formation energy: -0.076 eV per atom
! * DOS(E_F): 0.1230 states/eV/atom
! * total moment: 0.0 Bohr magnetons per cell
&SYSTEM
  ibrav = 0, nat = 20, ntyp = 3
/
ATOMIC_SPECIES
Ag 107.87 Ag.upf
O 16.00 O.upf
Tl 204.38 Tl.upf
CELL_PARAMETERS angstrom
-2.492 -2.910 -6.149
6.125 -3.507 1.636
-4.793 -1.646 5.178
ATOMIC_POSITIONS crystal
Ag 0.655 0.239 0.075
O 0.500 0.500 0.500
Ag 0.405 0.513 0.166
O 0.015 0.677 0.845
O 0.845 0.015 0.677
O 0.985 0.323 0.155
Ag 0.166 0.405 0.513
Ag 0.595 0.487 0.834
Ag 0.239 0.075 0.655
Ag 0.345 0.761 0.925
Ag 0.925 0.345 0.761
Ag 0.487 0.834 0.595
O 0.677 0.845 0.015
Tl 0.000 0.000 0.000
Ag 0.513 0.166 0.405
Ag 0.075 0.655 0.239
Ag 0.761 0.925 0.345
O 0.155 0.985 0.323
Ag 0.834 0.595 0.487
O 0.323 0.155 0.985